Record 1
Computed, not measured: an optimized crystal structure of FeSi2Cl at the PBEsol level of DFT.

As for the energy above the lowest structure with this stoichiometry: 288 meV/atom. The calculation puts the uncorrected formation energy at 398 meV per atom.

Unit cell a=5.555 b=5.555 c=10.279 alpha=90.00 beta=90.00 gamma=90.00
Space group I-42d (No. 122)
Inequivalent atoms, fractional coordinates:
1 Fe 0.000 0.000 0.000 [4 per cell]
2 Si 0.174 0.250 0.125 [8 per cell]
3 Cl 0.000 0.000 0.500 [4 per cell]



Record 2
Computed, not measured: an optimized crystal structure of Si2Os at the PBEsol level of DFT.

The calculation puts the uncorrected formation energy at -521 meV per atom.

Unit cell a=10.125 b=8.104 c=8.204 alpha=90.00 beta=90.00 gamma=90.00
Space group Cmce (No. 64)
Inequivalent atoms, fractional coordinates:
1 Si 0.127 0.053 0.224 [16 per cell]
2 Si 0.128 0.222 0.941 [16 per cell]
3 Os 0.000 0.188 0.682 [8 per cell]
4 Os 0.215 0.000 0.500 [8 per cell]



Record 3
Computed, not measured: an optimized crystal structure of ScPt2Cl at the PBEsol level of DFT.

As for the energy above the lowest structure with this stoichiometry: 76 meV/atom. The calculation puts the uncorrected formation energy at -664 meV per atom.

Unit cell a=3.649 b=3.296 c=7.244 alpha=90.00 beta=90.54 gamma=90.00
Space group Pm (No. 6)
Inequivalent atoms, fractional coordinates:
1 Sc 0.000 0.000 0.000 [1 per cell]
2 Pt 0.006 0.000 0.338 [1 per cell]
3 Pt 0.504 0.500 0.220 [1 per cell]
4 Cl 0.993 0.500 0.746 [1 per cell]



Record 4
Computed, not measured: an optimized crystal structure of HgRhAu at the PBEsol level of DFT.

The value obtained for the calculated formation energy is 0.565 eV/atom.

Unit cell a=6.194 b=6.194 c=6.194 alpha=90.00 beta=90.00 gamma=90.00
Space group F-43m (No. 216)
Inequivalent atoms, fractional coordinates:
1 Hg 0.000 0.000 0.000 [4 per cell]
2 Rh 0.250 0.250 0.250 [4 per cell]
3 Au 0.250 0.250 0.750 [4 per cell]